The following is a GGA-PBE calculation of a geometry-optimized K4Tl4In structure, from Alexandria.

Structure (POSCAR):
```
K4Tl4In
1.0
7.054 0.000 0.000
-3.527 7.669 3.527
0.000 0.000 7.054
K Tl In
4 4 1
Direct
0.197 0.780 0.417
0.583 0.780 0.803
0.417 0.220 0.583
0.803 0.220 0.197
0.347 0.328 0.020
0.980 0.328 0.653
0.020 0.672 0.980
0.653 0.672 0.347
0.000 0.000 0.000
```

Calculated values
As for the symmetry: I-42m. The crystal system is tetragonal.

The following is a GGA-PBE calculation of a geometry-optimized K4Tl3In2 structure, from Alexandria.

Structure (POSCAR):
```
K4Tl3In2
1.0
-3.474 -2.380 -2.567
5.364 -0.925 -6.400
2.759 -6.188 6.742
K Tl In
4 3 2
Direct
0.235 0.695 0.471
0.765 0.305 0.529
0.581 0.882 0.163
0.419 0.118 0.837
0.086 0.206 0.171
0.914 0.794 0.829
0.000 0.500 0.000
0.403 0.546 0.805
0.597 0.454 0.195
```

Calculated values
As for the symmetry: C2/m. The crystal system is monoclinic.

The following is a GGA-PBE calculation of a geometry-optimized K3Tl3In structure, from Alexandria.

Structure (POSCAR):
```
K3Tl3In
1.0
-3.584 -3.769 0.637
2.234 -5.032 4.339
-8.027 6.220 13.190
K Tl In
6 6 2
Direct
0.524 0.335 0.617
0.476 0.665 0.383
0.244 0.277 0.235
0.756 0.723 0.765
0.386 0.306 0.922
0.614 0.694 0.078
0.864 0.735 0.537
0.136 0.265 0.463
0.095 0.891 0.919
0.905 0.109 0.081
0.952 0.857 0.238
0.048 0.143 0.762
0.759 0.083 0.399
0.241 0.917 0.601
```

Calculated values
As for the symmetry: C2/m. The crystal system is monoclinic.

The following is a GGA-PBE calculation of a geometry-optimized K3Tl2In structure, from Alexandria.

Structure (POSCAR):
```
K3Tl2In
1.0
-2.816 3.102 3.183
-0.728 -4.513 8.104
7.797 5.433 5.952
K Tl In
6 4 2
Direct
0.080 0.042 0.798
0.920 0.958 0.202
0.660 0.683 0.998
0.340 0.317 0.002
0.803 0.825 0.568
0.197 0.175 0.432
0.908 0.447 0.736
0.092 0.553 0.264
0.536 0.333 0.594
0.464 0.667 0.406
0.312 0.634 0.742
0.688 0.366 0.258
```

Calculated values
As for the symmetry: C2/m. The crystal system is monoclinic.

The following is a GGA-PBE calculation of a geometry-optimized K5Tl5In2 structure, from Alexandria.

Structure (POSCAR):
```
K5Tl5In2
1.0
5.268 0.000 1.700
1.745 8.765 3.605
-0.201 -0.291 9.633
K Tl In
5 5 2
Direct
0.500 0.500 0.500
0.355 0.335 0.954
0.352 0.957 0.338
0.648 0.043 0.662
0.645 0.665 0.046
0.998 0.705 0.300
0.237 0.761 0.765
0.763 0.239 0.235
0.002 0.295 0.700
0.000 0.000 0.000
0.845 0.652 0.658
0.155 0.348 0.342
```

Calculated values
As for the symmetry: C2/m. The crystal system is monoclinic.

The following is a GGA-PBE calculation of a geometry-optimized K2TlIn structure, from Alexandria.

Structure (POSCAR):
```
K2TlIn
1.0
7.744 0.133 0.443
-3.142 5.748 -0.077
1.460 1.036 3.461
In K Tl
1 2 1
Direct
0.500 0.500 0.000
0.000 0.000 0.000
0.500 0.000 0.500
0.000 0.500 0.500
```

Calculated values
As for the symmetry: C2/m. The value obtained for the relative energy among the computed polymorphs is 133.9 meV per atom. The crystal system is monoclinic.

Number 1: calculated formation energy 0.0383 eV/atom. Number 2: calculated formation energy -0.0842 eV/atom. Number 3: calculated formation energy -0.0865 eV/atom. Number 4: calculated formation energy -0.0668 eV/atom. Number 5: calculated formation energy -0.0763 eV/atom. Number 6: calculated formation energy 0.0375 eV/atom.